# 1
Here is an optimized crystal structure of Ca5SmPt6 from Alexandria. Energies are from PBE.

Output
DFT formation energy = -0.9416 eV per atom
Crystal system = monoclinic

Cell lengths 4.9463, 7.0823, 7.8176 Å; angles 90.00, 71.17, 90.00 degrees
Closest atoms and distances in Å follow each position.
Atoms (fractional coordinates):
Sm: 0.0000 0.0000 0.0000  8 Pt 2.99-3.00
Pt: 0.1638 0.2492 0.6740  1 Sm 2.99, 7 Ca 3.00-3.09
Ca: 0.6669 0.5000 0.6671  8 Pt 3.04-3.09
Pt: 0.5000 0.7596 0.0000  2 Sm 3.00, 6 Ca 3.05-3.08
Pt: 0.1638 0.7508 0.6740  1 Sm 2.99, 7 Ca 3.00-3.09
Pt: 0.8362 0.7508 0.3260  1 Sm 2.99, 7 Ca 3.00-3.09
Ca: 0.0000 0.5000 0.0000  8 Pt 3.00-3.08
Pt: 0.8362 0.2492 0.3260  1 Sm 2.99, 7 Ca 3.00-3.09
Ca: 0.3331 0.5000 0.3329  8 Pt 3.04-3.09
Ca: 0.3289 0.0000 0.3413  8 Pt 3.03-3.05
Ca: 0.6711 0.0000 0.6587  8 Pt 3.03-3.05
Pt: 0.5000 0.2404 0.0000  2 Sm 3.00, 6 Ca 3.05-3.08



# 2
Here is an optimized crystal structure of SmTcH5 from Alexandria. Energies are from PBE.

Output
Crystal system = orthorhombic

Cell lengths 3.8283, 4.8359, 4.8359 Å; angles 67.87, 66.68, 66.68 degrees
Closest atoms and distances in Å follow each position.
Atoms (fractional coordinates):
Tc: 0.4605 0.5000 0.5000  5 H 1.67-1.86
H: 0.8734 0.2900 0.2900  1 Tc 1.67, 1 H 1.83
Sm: 0.9294 0.0000 0.0000  6 H 2.14-2.23
H: 0.9464 0.5000 0.5000  2 H 1.83, 2 Tc 1.86-1.97
H: 0.4534 0.7100 0.7100  1 Tc 1.67, 1 H 1.83
H: 0.4338 0.1842 0.8158  1 Tc 1.71
H: 0.4338 0.8158 0.1842  1 Tc 1.71



# 3
Here is an optimized crystal structure of Tl2Cd2H from Alexandria. Energies are from PBE.

Output
Energy relative to the lowest polymorph listed for this composition = 0.4 kJ per mole of atoms
Crystal system = tetragonal

Cell lengths 6.5164, 6.5164, 5.7818 Å; angles 90.00, 90.00, 90.00 degrees
Closest atoms and distances in Å follow each position.
Atoms (fractional coordinates):
Tl: 0.1761 0.3239 0.0000  2 H 2.40
Cd: 0.6705 0.8295 0.5000  5 Cd 3.14-3.42, 2 Tl 3.22
Cd: 0.3295 0.1705 0.5000  5 Cd 3.14-3.42, 2 Tl 3.22
Cd: 0.8295 0.3295 0.5000  5 Cd 3.14-3.42, 2 Tl 3.22
Tl: 0.3239 0.8239 0.0000  2 H 2.40
H: 0.5000 0.5000 0.0000  4 Tl 2.40
Tl: 0.6761 0.1761 0.0000  2 H 2.40
Tl: 0.8239 0.6761 0.0000  2 H 2.40
Cd: 0.1705 0.6705 0.5000  5 Cd 3.14-3.42, 2 Tl 3.22
H: 0.0000 0.0000 0.0000  4 Tl 2.40



# 4
Here is an optimized crystal structure of CoWC3 from Alexandria. Energies are from PBE.

Output
Energy relative to the lowest polymorph listed for this composition = 7.2 kJ per mole of atoms
DFT formation energy = 2.2089 eV per atom
Crystal system = cubic

Cell lengths 3.6615, 3.6615, 3.6615 Å; angles 90.00, 90.00, 90.00 degrees
Closest atoms and distances in Å follow each position.
Atoms (fractional coordinates):
Co: 0.0000 0.0000 0.0000  6 C 1.83
C: 0.0000 0.5000 0.0000  2 Co 1.83
C: 0.0000 0.0000 0.5000  2 Co 1.83
C: 0.5000 0.0000 0.0000  2 Co 1.83
W: 0.5000 0.5000 0.5000  12 C 2.59



# 5
Here is an optimized crystal structure of BeH4NF3 from Alexandria. Energies are from PBE.

Output
Energy relative to the lowest polymorph listed for this composition = 6.2 kJ per mole of atoms
Crystal system = orthorhombic

Cell lengths 4.3241, 6.3024, 14.6394 Å; angles 90.00, 90.00, 90.00 degrees
Closest atoms and distances in Å follow each position.
Atoms (fractional coordinates):
F: 0.3805 0.3950 0.4379  1 Be 1.48
F: 0.6195 0.8950 0.0621  1 Be 1.48
Be: 0.3897 0.0114 0.1173  3 F 1.47-1.49
F: 0.1195 0.6050 0.9379  1 Be 1.48
N: 0.6783 0.4931 0.6235  4 H 1.03-1.04
F: 0.8805 0.1050 0.5621  1 Be 1.48
Be: 0.8897 0.4886 0.8827  3 F 1.47-1.49
F: 0.2309 0.9102 0.1949  1 Be 1.47
H: 0.4750 0.5560 0.5983  1 N 1.03
H: 0.9750 0.9440 0.4017  1 N 1.03
H: 0.2159 0.1614 0.3991  1 N 1.04
H: 0.1404 0.0889 0.8982  1 N 1.04
H: 0.6750 0.5014 0.6945  1 N 1.04
H: 0.3596 0.9111 0.3982  1 N 1.04
Be: 0.6103 0.5114 0.3827  3 F 1.47-1.49
F: 0.2691 0.0898 0.6949  1 Be 1.47
F: 0.7691 0.4102 0.3051  1 Be 1.47
N: 0.3217 0.9931 0.8765  4 H 1.03-1.04
Be: 0.1103 0.9886 0.6173  3 F 1.47-1.49
F: 0.1700 0.7618 0.5942  1 Be 1.49
F: 0.3300 0.2382 0.0942  1 Be 1.49
F: 0.8300 0.2618 0.9058  1 Be 1.49
H: 0.7159 0.3386 0.6009  1 N 1.04
H: 0.7841 0.6614 0.1009  1 N 1.04
F: 0.7309 0.5898 0.8051  1 Be 1.47
H: 0.5250 0.0560 0.9017  1 N 1.03
H: 0.3250 0.0014 0.8055  1 N 1.04
H: 0.8250 0.4986 0.1945  1 N 1.04
H: 0.1750 0.9986 0.3055  1 N 1.04
H: 0.8596 0.5889 0.6018  1 N 1.04
H: 0.0250 0.4440 0.0983  1 N 1.03
H: 0.2841 0.8386 0.8991  1 N 1.04
N: 0.1783 0.0069 0.3765  4 H 1.03-1.04
H: 0.6404 0.4111 0.1018  1 N 1.04
F: 0.6700 0.7382 0.4058  1 Be 1.49
N: 0.8217 0.5069 0.1235  4 H 1.03-1.04



# 6
Here is an optimized crystal structure of NpInPb from Alexandria. Energies are from PBE.

Output
Energy relative to the lowest polymorph listed for this composition = 5.3 kJ per mole of atoms
DFT formation energy = 0.2509 eV per atom
Crystal system = tetragonal

Cell lengths 3.5198, 3.5198, 7.0629 Å; angles 104.43, 104.43, 90.00 degrees
Closest atoms and distances in Å follow each position.
Atoms (fractional coordinates):
Pb: 0.9545 0.9545 0.9090  4 In 3.28, 4 Np 3.40, 4 Pb 3.52
Np: 0.2797 0.2797 0.5594  4 In 3.30, 4 Pb 3.40, 4 Np 3.52
In: 0.6158 0.6158 0.2316  4 Pb 3.28, 4 Np 3.30, 4 In 3.52



| no. | N(E_F) (states/eV/cell) | E_tot (eV per cell) |
| --- | --- | --- |
| 1 | 2.11 | -62.3 |
| 2 | 2.63 | -32.4 |
| 3 | 2.50 | -17.3 |
| 4 | 6.01 | -36.7 |
| 5 | 0.00 | -185.1 |
| 6 | 7.17 | -18.6 |